(P)
6
Lattice="2.838 0.000 0.821 1.730 5.094 -0.664 -0.332 -2.231 6.464" Properties=species:S:1:pos:R:3 comment="TiVRh4 (GGA-PBE, relaxed)" n_ef_per_ev_cell=6.1 pbc="T T T"
V 2.118 1.431 3.310
Ti 0.000 0.000 0.000
Rh 0.852 -0.559 2.372
Rh 1.255 2.052 0.979
Rh 3.385 3.422 4.248
Rh 2.982 0.811 5.642


(Q)
6
Lattice="4.089 0.000 -0.001 0.000 4.091 -0.002 0.003 0.005 5.812" Properties=species:S:1:pos:R:3 comment="TiVRh4 (GGA-PBE, relaxed)" n_ef_per_ev_cell=5.4 pbc="T T T"
Rh 0.006 2.035 1.474
Rh 0.008 2.038 4.315
Rh 2.052 4.084 4.314
Rh 2.051 4.081 1.472
Ti 2.053 2.039 5.800
V 0.008 4.081 2.894


If you had to bet on the most stable structure above, which would it be? Bet on (P).